A plane-wave DFT calculation with GGA-PBEsol was carried out for CoSb2Br after structural relaxation.

Geometry as CIF:
```
data_CoSb2Br
_space_group_name_H-M_alt 'I m m m'
_space_group_IT_number 71
_space_group_name_Hall '-I 2 2'
_cell_length_a 3.168
_cell_length_b 4.775
_cell_length_c 11.433
_cell_angle_alpha 90.00
_cell_angle_beta 90.00
_cell_angle_gamma 90.00
loop_
_atom_site_label
_atom_site_type_symbol
_atom_site_fract_x
_atom_site_fract_y
_atom_site_fract_z
_atom_site_occupancy
Co1 Co 0.000 0.000 0.000 1
Sb1 Sb 0.000 0.500 0.319 1
Br1 Br 0.000 0.000 0.500 1
```

Results
E_tot, eV per atom: -4.445
Crystal system: orthorhombic
D(E_F), states/eV/f.u.: 3.254
ρ, Mg/m³: 7.34
E above lowest polymorph, meV/atom: 388
Uncorrected formation energy, eV per atom: 0.235
Volume, Å³ per cell: 173.0